No. 1
The following is a GGA-PBE calculation of an optimized crystal structure of Pu2BeAu3, from Alexandria via LeMat-Bulk.

```
Pu2BeAu3
1.0
3.6508 0.0000 0.0000
0.0000 4.4396 0.0000
0.0000 0.0000 7.9672
Pu Be Au
2 1 3
direct
0.0000 0.5000 0.0071 Pu
0.0000 0.0000 0.5000 Pu
0.5000 0.5000 0.3262 Be
0.5000 0.0000 0.8432 Au
0.5000 0.0000 0.1964 Au
0.5000 0.5000 0.6272 Au
```

Computed properties:
The crystal system is orthorhombic. Its mass density is 13.99 Mg/m³. Its calculated formation energy is -1.94 eV per formula unit. The total energy is -7.360 eV per atom. The density of states at the Fermi level is 25.90 states/eV per cell.

---

No. 2
The following is a GGA-PBE calculation of an optimized crystal structure of TaAuSe2, from Alexandria via LeMat-Bulk.

```
TaAuSe2
1.0
-3.1710 3.2116 4.3032
-4.3060 -0.1586 4.5078
2.7421 -0.7608 2.6793
Au Se Ta
1 2 1
direct
0.7367 0.7367 0.1243 Au
0.9717 0.9717 0.1170 Se
0.2270 0.2270 0.6241 Se
0.5646 0.5646 0.6346 Ta
```

Computed properties:
The crystal system is monoclinic. The calculation puts the uncorrected formation energy at -0.550 eV/f.u. Its mass density is 10.70 Mg/m³. The total energy is -5.662 eV per atom. The density of states at the Fermi level is 0.64 states/eV per cell.

---

No. 3
The following is a GGA-PBE calculation of an optimized crystal structure of MgScGe2, from Alexandria via LeMat-Bulk.

```
MgScGe2
1.0
7.3729 0.0000 0.0000
0.0000 7.3729 0.0000
3.6865 3.6865 3.0254
Sc Ge Mg
2 4 2
direct
0.0000 0.0000 0.0000 Sc
0.7500 0.2500 0.5000 Sc
0.6139 0.1250 0.2500 Ge
0.1361 0.6250 0.2500 Ge
0.3750 0.3861 0.7500 Ge
0.8750 0.8639 0.7500 Ge
0.5000 0.5000 0.0000 Mg
0.2500 0.7500 0.5000 Mg
```

Computed properties:
The crystal system is tetragonal. Its mass density is 4.33 Mg/m³. Its calculated formation energy is -0.58 eV per formula unit. The total energy is -4.436 eV per atom. The density of states at the Fermi level is 4.83 states/eV per cell.

---

No. 4
The following is a GGA-PBE calculation of an optimized crystal structure of Cs3U3GeSe8, from Alexandria via LeMat-Bulk.

```
Cs3U3GeSe8
1.0
-6.2474 5.1488 -2.5184
1.8132 -6.9687 -4.4745
-4.6401 -1.4889 8.4660
Cs U Ge Se
3 3 1 8
direct
0.0000 0.0000 0.0000 Cs
0.0000 0.5000 0.0000 Cs
0.5000 0.5000 0.0000 Cs
0.5000 0.0000 0.5000 U
0.5000 0.5000 0.5000 U
0.0000 0.5000 0.5000 U
0.0000 0.0000 0.5000 Ge
0.2714 0.5428 0.3142 Se
0.7286 0.4572 0.6858 Se
0.7723 0.5445 0.3219 Se
0.2277 0.4555 0.6781 Se
0.7723 0.0497 0.3218 Se
0.2277 0.9503 0.6782 Se
0.2774 0.0497 0.3219 Se
0.7226 0.9503 0.6782 Se
```

Computed properties:
The crystal system is trigonal. The calculation puts the uncorrected formation energy at -16.731 eV/f.u. Its mass density is 5.73 Mg/m³. The total energy is -5.710 eV per atom. The density of states at the Fermi level is 10.06 states/eV per cell.

---

No. 5
The following is a GGA-PBE calculation of an optimized crystal structure of Mg2ZrBe, from Alexandria via LeMat-Bulk.

```
Mg2ZrBe
1.0
-0.7070 2.4271 -3.0938
-3.5927 -1.8364 -0.6197
-2.0002 2.9720 2.7887
Be Mg Zr
1 2 1
direct
0.0000 0.5000 0.5000 Be
0.0000 0.0000 0.0000 Mg
0.5000 0.5000 0.0000 Mg
0.5000 0.0000 0.5000 Zr
```

Computed properties:
The crystal system is orthorhombic. Its mass density is 3.34 Mg/m³. Its calculated formation energy is 0.56 eV per formula unit. The total energy is -3.726 eV per atom. The density of states at the Fermi level is 2.31 states/eV per cell.

---

No. 6
The following is a GGA-PBE calculation of an optimized crystal structure of Na3AsSe4, from Alexandria via LeMat-Bulk.

```
Na3AsSe4
1.0
-5.1979 -6.1285 -2.8219
-3.1646 -1.7836 9.7030
-7.4122 6.8223 -1.1634
Na As Se
12 4 16
direct
0.3606 0.5495 0.7500 Na
0.8606 0.9505 0.7500 Na
0.6394 0.4505 0.2500 Na
0.1394 0.0495 0.2500 Na
0.3509 0.7699 0.0274 Na
0.8509 0.7301 0.4726 Na
0.6491 0.2301 0.5274 Na
0.1491 0.2699 0.9726 Na
0.6491 0.2301 0.9726 Na
0.1491 0.2699 0.5274 Na
0.3509 0.7699 0.4726 Na
0.8509 0.7301 0.0274 Na
0.3234 0.0063 0.7500 As
0.8234 0.4937 0.7500 As
0.6766 0.9937 0.2500 As
0.1766 0.5063 0.2500 As
0.1548 0.9851 0.5624 Se
0.6548 0.5149 0.9376 Se
0.8452 0.0149 0.0624 Se
0.3452 0.4851 0.4376 Se
0.8452 0.0149 0.4376 Se
0.3452 0.4851 0.0624 Se
0.1548 0.9851 0.9376 Se
0.6548 0.5149 0.5624 Se
0.4319 0.2155 0.7500 Se
0.9319 0.2845 0.7500 Se
0.5681 0.7845 0.2500 Se
0.0681 0.7155 0.2500 Se
0.5079 0.8354 0.7500 Se
0.0079 0.6646 0.7500 Se
0.4921 0.1646 0.2500 Se
0.9921 0.3354 0.2500 Se
```

Computed properties:
The crystal system is orthorhombic. The calculation puts the uncorrected formation energy at -5.500 eV/f.u. Its mass density is 3.41 Mg/m³. The total energy is -3.506 eV per atom.

---

No. 7
The following is a GGA-PBE calculation of an optimized crystal structure of CrGeBi3, from Alexandria via LeMat-Bulk.

```
CrGeBi3
1.0
-0.5969 5.0938 1.9151
0.2266 -1.9016 5.1287
5.4372 0.6384 -0.0035
Cr Ge Bi
1 1 3
direct
0.5000 0.5000 0.5000 Cr
0.0000 0.0000 0.0000 Ge
0.0000 0.5000 0.0000 Bi
0.0000 0.0000 0.5000 Bi
0.5000 0.0000 0.0000 Bi
```

Computed properties:
The crystal system is cubic. Its mass density is 7.61 Mg/m³. Its calculated formation energy is 7.02 eV per formula unit. The total energy is -3.773 eV per atom. The density of states at the Fermi level is 5.95 states/eV per cell.

---

No. 8
The following is a GGA-PBE calculation of an optimized crystal structure of Co3SI, from Alexandria via LeMat-Bulk.

```
Co3SI
1.0
4.3373 0.0000 0.0000
0.0000 4.3373 0.0000
0.0000 0.0000 4.3373
I S Co
1 1 3
direct
0.5000 0.5000 0.5000 I
0.0000 0.0000 0.0000 S
0.0000 0.5000 0.0000 Co
0.0000 0.0000 0.5000 Co
0.5000 0.0000 0.0000 Co
```

Computed properties:
The crystal system is cubic. The calculation puts the uncorrected formation energy at 2.527 eV/f.u. Its mass density is 6.83 Mg/m³. The total energy is -4.894 eV per atom. The density of states at the Fermi level is 7.34 states/eV per cell.

---

No. 9
The following is a GGA-PBE calculation of an optimized crystal structure of CsRuSe3, from Alexandria via LeMat-Bulk.

```
CsRuSe3
1.0
-2.4140 5.2619 -0.0200
-5.0631 -2.3287 -1.5677
-1.4329 -0.6362 5.5729
Cs Ru Se
1 1 3
direct
0.0000 0.0000 0.0000 Cs
0.5000 0.5000 0.5000 Ru
0.0000 0.5000 0.0000 Se
0.0000 0.0000 0.5000 Se
0.5000 0.0000 0.0000 Se
```

Computed properties:
The crystal system is cubic. The calculation puts the uncorrected formation energy at 9.336 eV/f.u. Its mass density is 4.03 Mg/m³. The total energy is -2.249 eV per atom. The density of states at the Fermi level is 6.84 states/eV per cell.

---

No. 10
The following is a GGA-PBE calculation of an optimized crystal structure of La6Pm2Pr3Mg, from Alexandria via LeMat-Bulk.

```
La6Pm2Pr3Mg
1.0
-3.7424 3.8900 -3.4195
2.7503 -5.0594 -2.7693
-9.1757 -6.3017 4.8876
La Pm Pr Mg
6 2 3 1
direct
0.9192 0.5900 0.7544 La
0.7524 0.7524 0.2469 La
0.0808 0.4100 0.2456 La
0.5900 0.9192 0.7544 La
0.2476 0.2476 0.7531 La
0.4100 0.0808 0.2456 La
0.3333 0.6667 0.0000 Pm
0.6667 0.3333 0.0000 Pm
0.1678 0.8322 0.5000 Pr
0.8322 0.1678 0.5000 Pr
0.5000 0.5000 0.5000 Pr
0.0000 0.0000 0.0000 Mg
```

Computed properties:
The crystal system is monoclinic. Its mass density is 6.17 Mg/m³. Its calculated formation energy is 0.16 eV per formula unit. The total energy is -4.570 eV per atom. The density of states at the Fermi level is 16.89 states/eV per cell.

---

No. 11
The following is a GGA-PBE calculation of an optimized crystal structure of Rb2BaBi2Pb, from Alexandria via LeMat-Bulk.

```
Rb2BaBi2Pb
1.0
5.2420 0.0000 0.0000
0.0000 9.5279 0.0000
0.0000 0.0000 10.6508
Rb Ba Bi Pb
4 2 4 2
direct
0.5000 0.0440 0.0847 Rb
0.0000 0.3664 0.1802 Rb
0.5000 0.5440 0.9153 Rb
0.0000 0.8664 0.8198 Rb
0.0000 0.9707 0.4392 Ba
0.0000 0.4707 0.5608 Ba
0.0000 0.2657 0.8366 Bi
0.5000 0.2602 0.4145 Bi
0.0000 0.7657 0.1634 Bi
0.5000 0.7602 0.5855 Bi
0.5000 0.1385 0.6905 Pb
0.5000 0.6385 0.3095 Pb
```

Computed properties:
The crystal system is orthorhombic. Its mass density is 5.83 Mg/m³. Its calculated formation energy is -2.99 eV per formula unit. The total energy is -3.054 eV per atom. The density of states at the Fermi level is 0.37 states/eV per cell.

---

No. 12
The following is a GGA-PBE calculation of an optimized crystal structure of ScGa3Co2, from Alexandria via LeMat-Bulk.

```
ScGa3Co2
1.0
-1.7138 -5.2608 -1.0375
1.9482 -4.2617 3.1196
-4.8543 -2.3869 4.8498
Sc Ga Co
2 6 4
direct
0.7808 0.7808 0.6577 Sc
0.2192 0.2192 0.3423 Sc
0.2430 0.7354 0.2861 Ga
0.7354 0.2430 0.2861 Ga
0.7354 0.7354 0.2861 Ga
0.2646 0.7570 0.7139 Ga
0.7570 0.2646 0.7139 Ga
0.2646 0.2646 0.7139 Ga
0.0000 0.0000 0.0000 Co
0.0000 0.5000 0.0000 Co
0.5000 0.5000 0.0000 Co
0.5000 0.0000 0.0000 Co
```

Computed properties:
The crystal system is trigonal. Its mass density is 6.93 Mg/m³. Its calculated formation energy is -1.58 eV per formula unit. The total energy is -5.201 eV per atom. The density of states at the Fermi level is 10.01 states/eV per cell.

---

> The lowest mass density belongs to which entry?

Mg2ZrBe

---

> The lowest mass density belongs to which entry?

Mg2ZrBe

---

> mass density of number 7 (CrGeBi3)?

7.61 Mg/m³

---

> Look up the mass density of the third one.

4.33 Mg/m³